Entry 1:
Here is a relaxed DyIn12Rh6 crystal from the Alexandria database. Energies are from PBE.

Lattice parameters (Å, degrees): 7.811 7.811 7.811 106.05 106.05 106.05
Atoms (fractional coordinates):
Dy (0.000, 0.000, 0.000)
In (0.881, 0.119, 0.500)
In (0.853, 0.597, 0.597)
In (0.597, 0.597, 0.853)
In (0.403, 0.147, 0.403)
In (0.403, 0.403, 0.147)
In (0.147, 0.403, 0.403)
In (0.119, 0.500, 0.881)
In (0.500, 0.881, 0.119)
In (0.119, 0.881, 0.500)
In (0.881, 0.500, 0.119)
In (0.500, 0.119, 0.881)
In (0.597, 0.853, 0.597)
Rh (0.699, 0.275, 0.275)
Rh (0.275, 0.275, 0.699)
Rh (0.275, 0.699, 0.275)
Rh (0.725, 0.725, 0.301)
Rh (0.301, 0.725, 0.725)
Rh (0.725, 0.301, 0.725)

## Properties
symmetry = R-3m, No. 166
mass density = 8.809 g cm⁻³
DOS at the Fermi energy = 0.43 states/eV/atom

---

Entry 2:
Here is a relaxed DyIn2Rh4 crystal from the Alexandria database. Energies are from PBE.

Lattice parameters (Å, degrees): 5.553 5.553 5.553 110.65 108.88 108.88
Atoms (fractional coordinates):
Dy (0.000, 0.000, 0.000)
In (0.500, 0.500, 0.000)
In (0.500, 0.000, 0.500)
Rh (0.500, 0.000, 0.000)
Rh (0.500, 0.500, 0.500)
Rh (0.000, 0.000, 0.500)
Rh (0.000, 0.500, 0.000)

## Properties
symmetry = I4/mmm, No. 139
mass density = 10.129 g cm⁻³
DOS at the Fermi energy = 0.45 states/eV/atom

---

Entry 3:
Here is a relaxed Dy6In2Rh crystal from the Alexandria database. Energies are from PBE.

Lattice parameters (Å, degrees): 5.094 7.247 8.654 114.75 107.11 90.00
Atoms (fractional coordinates):
Dy (0.155, 0.395, 0.309)
Dy (0.845, 0.085, 0.691)
Dy (0.845, 0.605, 0.691)
Dy (0.500, 0.227, 0.000)
Dy (0.155, 0.915, 0.309)
Dy (0.500, 0.773, 0.000)
In (0.667, 0.667, 0.335)
In (0.333, 0.333, 0.665)
Rh (0.000, 0.000, 0.000)

## Properties
symmetry = Immm, No. 71
E above lowest polymorph = 188 meV per atom
mass density = 7.911 g cm⁻³
DOS at the Fermi energy = 0.92 states/eV/atom

---

Entry 4:
Here is a relaxed Dy6In2Rh crystal from the Alexandria database. Energies are from PBE.

Lattice parameters (Å, degrees): 3.802 8.672 8.669 120.01 90.00 90.00
Atoms (fractional coordinates):
Dy (0.500, 0.605, 0.000)
Dy (0.500, 0.394, 0.394)
Dy (0.500, 0.000, 0.606)
Dy (0.000, 0.243, 0.000)
Dy (0.000, 0.757, 0.757)
Dy (0.000, 0.000, 0.243)
In (0.000, 0.333, 0.666)
In (0.000, 0.667, 0.334)
Rh (0.500, 0.000, 0.000)

## Properties
symmetry = Amm2, No. 38
E above lowest polymorph = 0 meV per atom
mass density = 8.773 g cm⁻³
DOS at the Fermi energy = 1.21 states/eV/atom

---

Entry 5:
Here is a relaxed Dy6In3Rh crystal from the Alexandria database. Energies are from PBE.

Lattice parameters (Å, degrees): 5.275 9.212 11.347 107.41 90.00 90.00
Atoms (fractional coordinates):
Dy (0.250, 0.456, 0.083)
Dy (0.750, 0.544, 0.917)
Dy (0.250, 0.129, 0.160)
Dy (0.750, 0.871, 0.840)
Dy (0.250, 0.688, 0.667)
Dy (0.750, 0.312, 0.333)
Dy (0.250, 0.220, 0.498)
Dy (0.750, 0.780, 0.502)
Dy (0.250, 0.849, 0.326)
Dy (0.750, 0.151, 0.674)
Dy (0.250, 0.099, 0.856)
Dy (0.750, 0.901, 0.144)
In (0.250, 0.513, 0.379)
In (0.750, 0.487, 0.621)
In (0.250, 0.401, 0.782)
In (0.750, 0.599, 0.218)
In (0.250, 0.777, 0.976)
In (0.750, 0.223, 0.024)
Rh (0.250, 0.959, 0.594)
Rh (0.750, 0.041, 0.406)

## Properties
symmetry = P2_1/m, No. 11
mass density = 8.978 g cm⁻³
DOS at the Fermi energy = 0.88 states/eV/atom

---

Entry 6:
Here is a relaxed DyInRh2 crystal from the Alexandria database. Energies are from PBE.

Lattice parameters (Å, degrees): 4.690 4.697 4.697 59.89 60.04 60.04
Atoms (fractional coordinates):
In (0.250, 0.250, 0.250)
Rh (0.000, 0.000, 0.000)
Rh (0.500, 0.500, 0.500)
Dy (0.750, 0.750, 0.750)

## Properties
symmetry = I4/mmm, No. 139
mass density = 10.964 g cm⁻³
DOS at the Fermi energy = 0.14 states/eV/atom

---

Entry 7:
Here is a relaxed DyIn2Rh crystal from the Alexandria database. Energies are from PBE.

Lattice parameters (Å, degrees): 3.376 3.376 7.493 90.00 90.00 90.00
Last column: magnetic moment on the atom in μB.
Atoms (fractional coordinates):
In (0.000, 0.000, 0.796)  0.00
In (0.000, 0.000, 0.204)  0.00
Rh (0.500, 0.500, 0.000)  -0.01
Dy (0.500, 0.500, 0.500)  0.27

## Properties
symmetry = P4/mmm, No. 123
mass density = 9.625 g cm⁻³
DOS at the Fermi energy = 0.78 states/eV/atom

---

Entry 8:
Here is a relaxed Dy3In3Ru2Rh crystal from the Alexandria database. Energies are from PBE.

Lattice parameters (Å, degrees): 3.968 7.473 7.473 120.00 90.00 90.00
Atoms (fractional coordinates):
Dy (0.000, 0.592, 0.592)
Dy (0.000, 0.000, 0.408)
Dy (0.000, 0.408, 0.000)
In (0.500, 0.742, 0.000)
In (0.500, 0.000, 0.742)
In (0.500, 0.258, 0.258)
Ru (0.500, 0.667, 0.333)
Ru (0.500, 0.333, 0.667)
Rh (0.000, 0.000, 0.000)

## Properties
symmetry = P-62m, No. 189
mass density = 9.839 g cm⁻³
DOS at the Fermi energy = 0.93 states/eV/atom

---

Number 1: formation energy from the elements -0.251 eV per atom. Number 2: formation energy from the elements -0.280 eV per atom. Number 3: formation energy from the elements -0.256 eV per atom. Number 4: formation energy from the elements -0.444 eV per atom. Number 5: formation energy from the elements -0.442 eV per atom. Number 6: formation energy from the elements -0.760 eV per atom. Number 7: formation energy from the elements -0.410 eV per atom. Number 8: formation energy from the elements -0.494 eV per atom.